VASP calculation (GGA+U) on a relaxed structure of CoOs2O6.

Lattice parameters (Å, degrees): 4.414 8.638 8.638 120.00 90.00 90.00
Atoms (fractional coordinates):
Co 0.496 0.333 0.667
Co 0.000 0.000 0.000
Co 0.504 0.667 0.333
Os 0.000 0.658 0.658
Os 0.500 0.325 0.325
Os 0.000 0.000 0.342
Os 0.500 0.675 0.000
Os 0.500 0.000 0.675
Os 0.000 0.342 0.000
O 0.242 0.768 0.882
O 0.743 0.565 0.778
O 0.250 0.442 0.545
O 0.250 0.455 0.897
O 0.743 0.213 0.435
O 0.242 0.113 0.232
O 0.743 0.222 0.787
O 0.758 0.887 0.118
O 0.250 0.103 0.558
O 0.242 0.118 0.887
O 0.257 0.787 0.222
O 0.750 0.897 0.455
O 0.750 0.558 0.103
O 0.257 0.778 0.565
O 0.758 0.882 0.768
O 0.257 0.435 0.213
O 0.750 0.545 0.442
O 0.758 0.232 0.113

Summary:
final energy	-66.06	eV/f.u.
Fermi-level density of states	4.54	states/eV/f.u.
V	285	Å³/cell